An optimized crystal structure of LiCu4Pd, computed with PBE.

Results
ΔE to the lowest computed polymorph: 0.050 eV per atom
M_tot: 0.00 μB/f.u.

a = 4.8375 Å, b = 4.8375 Å, c = 4.8375 Å
α = 60.00°, β = 60.00°, γ = 60.00°
Last column: nearest neighbours and their distance in Å.
Positions (direct):
Li: 0.0000 0.0000 0.0000  12 Cu 2.84, 4 Pd 2.96
Cu: 0.1247 0.6251 0.6251  6 Cu 2.42
Cu: 0.6251 0.1247 0.6251  6 Cu 2.42
Cu: 0.6251 0.6251 0.1247  6 Cu 2.42
Cu: 0.6251 0.6251 0.6251  6 Cu 2.42
Pd: 0.2500 0.2500 0.2500  12 Cu 2.84, 4 Li 2.96